NaUV2O8: optimized geometry, PBE with a Hubbard U.

Structure (POSCAR):
```
NaUV2O8
1.0
-5.5922 1.2690 -1.1450
1.6781 -1.1270 5.4870
1.2975 6.5788 0.9544
Na U V O
1 1 2 8
direct
0.0000 0.0000 0.5000
0.0000 0.0000 0.0000
0.3333 0.6667 0.7194
0.6667 0.3333 0.2806
0.1661 0.3322 0.8038
0.1661 0.8339 0.8038
0.6678 0.8339 0.8038
0.3322 0.1661 0.1962
0.6667 0.3333 0.5221
0.3333 0.6667 0.4779
0.8339 0.6678 0.1962
0.8339 0.1661 0.1962
```

Calculated values
- symmetry = P-3m1 (164)
- total energy (hartree per atom) = -0.290
- total moment (μB per formula unit) = 1.00
- density of states at the Fermi level (states/eV/cell) = 1.7